First-principles (PBE) data for crystalline KGeI2Br at its relaxed geometry, as listed in Alexandria.

Cell lengths 5.954, 5.954, 5.511 Å; angles 90.00, 90.00, 90.00 degrees
Element x y z (fractional)
K 0.500 0.500 0.500
I 0.000 0.500 0.000
I 0.500 0.000 0.000
Ge 0.000 0.000 0.000
Br 0.000 0.000 0.500

**DOS at the Fermi energy**: 0.00 states/eV/f.u.
**Symmetry**: P4/mmm (123)
**Density**: 3.79 g cm⁻³
**Excess energy over the best structure of this formula in the dataset**: 38.5 meV per atom
**Electronic total energy**: -2.92 eV per atom
**Uncorrected formation energy**: -0.820 eV per atom